Co2MoOs | GGA-PBE | relaxed

Output
E: -9.120 eV per atom
polymorph energy (0 for the lowest one): 0.0000 eV per atom
mass density: 13.361 g/cm3
formation energy from the elements: -0.05 eV/atom

Cell lengths 5.258, 5.258, 4.197 Å; angles 90.00, 90.00, 120.05 degrees
Atoms (fractional coordinates):
Co: 0.166 0.325 0.250
Co: 0.325 0.166 0.750
Co: 0.675 0.834 0.250
Co: 0.834 0.675 0.750
Mo: 0.336 0.664 0.750
Mo: 0.664 0.336 0.250
Os: 0.161 0.839 0.250
Os: 0.839 0.161 0.750

BaTcSn | GGA-PBE | relaxed

Output
E: -4.880 eV per atom
polymorph energy (0 for the lowest one): 0.0000 eV per atom
mass density: 6.960 g/cm3

Cell lengths 4.925, 4.925, 4.925 Å; angles 60.00, 60.00, 60.00 degrees
Atoms (fractional coordinates):
Ba: 0.000 0.000 0.000
Tc: 0.250 0.250 0.250
Sn: 0.500 0.500 0.500

Cu5Ag2 | GGA-PBE | relaxed

Output
E: -3.392 eV per atom
polymorph energy (0 for the lowest one): 0.0183 eV per atom
mass density: 9.310 g/cm3
formation energy from the elements: 0.07 eV/atom

Cell lengths 5.581, 5.581, 6.648 Å; angles 105.79, 105.79, 28.61 degrees
Atoms (fractional coordinates):
Cu: 0.000 0.000 0.000
Cu: 0.290 0.290 0.866
Cu: 0.412 0.412 0.246
Cu: 0.588 0.588 0.754
Cu: 0.710 0.710 0.134
Ag: 0.128 0.128 0.430
Ag: 0.872 0.872 0.570

Mg2PdAu | GGA-PBE | relaxed

Output
E: -3.565 eV per atom
mass density: 8.634 g/cm3

Cell lengths 3.227, 3.227, 6.502 Å; angles 90.00, 90.00, 90.00 degrees
Atoms (fractional coordinates):
Mg: 0.000 0.000 0.240
Mg: 0.000 0.000 0.760
Pd: 0.500 0.500 0.000
Au: 0.500 0.500 0.500

ThTlCuTe3 | GGA-PBE | relaxed

Output
E: -4.578 eV per atom
mass density: 7.373 g/cm3

Cell lengths 8.118, 8.118, 11.584 Å; angles 90.00, 90.00, 148.61 degrees
Atoms (fractional coordinates):
Th: 0.000 0.000 0.000
Th: 0.000 0.000 0.500
Tl: 0.247 0.753 0.750
Tl: 0.753 0.247 0.250
Cu: 0.469 0.531 0.250
Cu: 0.531 0.469 0.750
Te: 0.072 0.928 0.250
Te: 0.366 0.634 0.068
Te: 0.366 0.634 0.432
Te: 0.634 0.366 0.568
Te: 0.634 0.366 0.932
Te: 0.928 0.072 0.750

SmBeIr | GGA-PBE | relaxed

Output
E: -5.129 eV per atom
polymorph energy (0 for the lowest one): 0.7846 eV per atom
mass density: 8.601 g/cm3

Cell lengths 4.579, 4.579, 4.579 Å; angles 60.00, 60.00, 60.00 degrees
Atoms (fractional coordinates):
Sm: 0.000 0.000 0.000
Be: 0.750 0.750 0.750
Ir: 0.250 0.250 0.250

FeSn10S10 | GGA-PBE | relaxed

Output
E: -4.522 eV per atom
mass density: 4.721 g/cm3

Cell lengths 11.220, 12.481, 7.854 Å; angles 90.00, 90.00, 90.00 degrees
Atoms (fractional coordinates):
Fe: 0.000 0.000 0.000
Fe: 0.500 0.500 0.000
Sn: 0.000 0.500 0.238
Sn: 0.000 0.500 0.762
Sn: 0.115 0.097 0.244
Sn: 0.115 0.097 0.756
Sn: 0.161 0.849 0.000
Sn: 0.192 0.781 0.500
Sn: 0.308 0.281 0.500
Sn: 0.339 0.349 0.000
Sn: 0.385 0.597 0.244
Sn: 0.385 0.597 0.756
Sn: 0.500 0.000 0.238
Sn: 0.500 0.000 0.762
Sn: 0.615 0.403 0.244
Sn: 0.615 0.403 0.756
Sn: 0.661 0.651 0.000
Sn: 0.692 0.719 0.500
Sn: 0.808 0.219 0.500
Sn: 0.839 0.151 0.000
Sn: 0.885 0.903 0.244
Sn: 0.885 0.903 0.756
S: 0.046 0.223 0.500
S: 0.108 0.381 0.000
S: 0.173 0.678 0.202
S: 0.173 0.678 0.798
S: 0.216 0.001 0.500
S: 0.284 0.501 0.500
S: 0.327 0.178 0.202
S: 0.327 0.178 0.798
S: 0.392 0.881 0.000
S: 0.454 0.723 0.500
S: 0.546 0.277 0.500
S: 0.608 0.119 0.000
S: 0.673 0.822 0.202
S: 0.673 0.822 0.798
S: 0.716 0.499 0.500
S: 0.784 0.999 0.500
S: 0.827 0.322 0.202
S: 0.827 0.322 0.798
S: 0.892 0.619 0.000
S: 0.954 0.777 0.500

TbBeO3 | GGA-PBE | relaxed

Output
E: -7.007 eV per atom
mass density: 6.262 g/cm3

Cell lengths 5.546, 5.546, 5.546 Å; angles 57.79, 57.79, 57.79 degrees
Atoms (fractional coordinates):
Tb: 0.135 0.135 0.135
Tb: 0.865 0.865 0.865
Be: 0.398 0.398 0.398
Be: 0.602 0.602 0.602
O: 0.102 0.474 0.677
O: 0.323 0.898 0.526
O: 0.474 0.677 0.102
O: 0.526 0.323 0.898
O: 0.677 0.102 0.474
O: 0.898 0.526 0.323

YCoHgSb | GGA-PBE | relaxed

Output
E: -4.591 eV per atom
polymorph energy (0 for the lowest one): 0.0000 eV per atom
mass density: 9.180 g/cm3

Cell lengths 4.936, 4.936, 4.936 Å; angles 60.00, 60.00, 60.00 degrees
Atoms (fractional coordinates):
Y: 0.000 0.000 0.000
Co: 0.500 0.500 0.500
Hg: 0.750 0.750 0.750
Sb: 0.250 0.250 0.250

K2NaFeH6 | GGA-PBE | relaxed

Output
E: -3.338 eV per atom
polymorph energy (0 for the lowest one): 0.0000 eV per atom
mass density: 2.249 g/cm3

Cell lengths 5.541, 5.541, 7.843 Å; angles 90.37, 90.29, 90.05 degrees
Atoms (fractional coordinates):
K: 0.000 0.000 0.250
K: 0.000 0.000 0.750
K: 0.499 0.500 0.250
K: 0.501 0.500 0.750
Na: 0.000 0.500 0.500
Na: 0.500 0.000 0.000
Fe: 0.000 0.500 0.000
Fe: 0.500 0.000 0.500
H: 0.011 0.499 0.794
H: 0.201 0.287 0.995
H: 0.203 0.710 0.996
H: 0.287 0.801 0.504
H: 0.291 0.203 0.495
H: 0.500 0.010 0.294
H: 0.500 0.990 0.706
H: 0.709 0.797 0.505
H: 0.713 0.199 0.496
H: 0.797 0.290 0.004
H: 0.799 0.713 0.005
H: 0.989 0.501 0.206

Re5W8 | GGA-PBE | relaxed

Output
E: -12.426 eV per atom
polymorph energy (0 for the lowest one): 0.0211 eV per atom
mass density: 18.953 g/cm3
formation energy from the elements: 0.33 eV/atom

Cell lengths 9.690, 9.690, 9.690 Å; angles 30.71, 30.71, 30.71 degrees
Atoms (fractional coordinates):
Re: 0.000 0.000 0.000
Re: 0.348 0.348 0.348
Re: 0.456 0.456 0.456
Re: 0.544 0.544 0.544
Re: 0.652 0.652 0.652
W: 0.090 0.090 0.587
W: 0.090 0.587 0.090
W: 0.167 0.167 0.167
W: 0.413 0.910 0.910
W: 0.587 0.090 0.090
W: 0.833 0.833 0.833
W: 0.910 0.413 0.910
W: 0.910 0.910 0.413

AcGdAsO | GGA-PBE | relaxed

Output
E: -6.558 eV per atom
polymorph energy (0 for the lowest one): 0.0647 eV per atom
mass density: 7.037 g/cm3

Cell lengths 4.513, 7.741, 6.419 Å; angles 90.00, 90.00, 90.00 degrees
Atoms (fractional coordinates):
Ac: 0.000 0.207 0.000
Ac: 0.000 0.793 0.500
Gd: 0.500 0.392 0.577
Gd: 0.500 0.608 0.077
As: 0.000 0.189 0.495
As: 0.000 0.811 0.995
O: 0.500 0.344 0.928
O: 0.500 0.656 0.428